DFT (PBE-GGA) results for an optimized crystal structure of MgHg2.

Cell and atoms, written as POSCAR:
```
MgHg2
1.0
-6.794 4.415 11.815
-4.285 -1.030 13.632
8.127 -0.191 -11.797
Mg Hg
4 8
direct
0.921 0.921 0.000 Mg
0.079 0.079 0.000 Mg
0.171 0.671 0.500 Mg
0.329 0.829 0.500 Mg
0.751 0.751 0.000 Hg
0.249 0.249 0.000 Hg
0.001 0.501 0.500 Hg
0.499 0.999 0.500 Hg
0.587 0.587 0.000 Hg
0.413 0.413 0.000 Hg
0.837 0.337 0.500 Hg
0.663 0.163 0.500 Hg
```

Summary:
D(E_F) = 5.35 states/eV per cell
SG = I4_1/amd (141)
Total DFT energy (no corrections) = -0.83 eV/atom
Mass density = 10.3 g/cm³
Formation energy from the elements = -0.093 eV/atom